Here is AcZr2MnO8 after structural relaxation from Alexandria. Energies are from GGA+U.

```
AcZr2MnO8
1.0
4.951 0.102 -0.006
0.154 4.951 -0.005
0.010 0.008 6.792
O Ac Zr Mn
8 1 2 1
direct
0.290 0.288 0.000
0.198 0.800 0.199
0.334 0.329 0.500
0.802 0.200 0.801
0.666 0.671 0.500
0.198 0.800 0.801
0.710 0.712 0.000
0.802 0.200 0.199
0.000 0.000 0.500
0.500 0.500 0.759
0.500 0.500 0.241
0.000 0.000 0.000
```

- crystal system = monoclinic
- total DFT energy (no corrections) (eV per atom) = -8.22